Entry 1:
This record from Alexandria via LeMat-Bulk describes a relaxed Li2PrSeN crystal. The functional is GGA-PBE.

Cell: 6.0363 6.0363 6.4543 Å, 117.88 117.88 90.00°
Last column: nearest neighbours and their distance in Å.
Atoms (fractional coordinates):
Se 0.7506 0.2506 0.5011  4 Li 2.92-2.93, 4 Pr 3.02
Se 0.2506 0.7506 0.5011  4 Li 2.92-2.93, 4 Pr 3.02
Li 0.3077 0.8077 0.9997  2 N 2.19
N 0.5001 0.5001 0.0002  4 Li 2.19, 2 Pr 2.42
N 0.0001 0.0001 0.0002  4 Li 2.19, 2 Pr 2.42
Li 0.6920 0.1920 0.9997  2 N 2.19
Pr 0.7499 0.7499 0.4998  2 N 2.42
Pr 0.2499 0.2499 0.4998  2 N 2.42
Li 0.8077 0.6920 0.9997  2 N 2.19
Li 0.1920 0.3077 0.9997  2 N 2.19

Space-group type = No. 108
E_form (uncorrected) = -1.06 eV/atom

=====

Entry 2:
This record from Alexandria via LeMat-Bulk describes a relaxed Li2PrSnN crystal. The functional is GGA-PBE.

Cell: 3.5192 7.6334 7.0745 Å, 90.00 90.00 103.33°
Last column: nearest neighbours and their distance in Å.
Atoms (fractional coordinates):
Li 0.8709 0.7418 0.0624  1 N 1.97
N 0.0000 0.0000 0.5000  2 Li 1.97
N 0.0000 0.0000 0.0000  2 Li 1.97
Sn 0.2488 0.4977 0.2500  6 Li 2.84-2.85
Li 0.1291 0.2582 0.5624  1 N 1.97
Sn 0.7512 0.5023 0.7500  6 Li 2.84-2.85
Pr 0.4629 0.9258 0.7500  4 N 2.55
Pr 0.5371 0.0742 0.2500  4 N 2.55
Li 0.8709 0.7418 0.4376  1 N 1.97
Li 0.1291 0.2582 0.9376  1 N 1.97

Space-group type = No. 63
E_form (uncorrected) = -0.66 eV/atom

=====

Entry 3:
This record from Alexandria via LeMat-Bulk describes a relaxed LiPr2SnN crystal. The functional is GGA-PBE.

Cell: 4.3906 5.0827 5.0827 Å, 90.00 90.00 90.00°
Last column: nearest neighbours and their distance in Å.
Atoms (fractional coordinates):
Pr 0.0000 0.0000 0.5000  2 N 2.54
Pr 0.0000 0.5000 0.0000  2 N 2.54
N 0.0000 0.0000 0.0000  2 Li 2.20
Sn 0.5000 0.5000 0.5000  8 Pr 3.36, 4 Li 3.59
Li 0.5000 0.0000 0.0000  2 N 2.20

Space-group type = No. 123
E_form (uncorrected) = -0.86 eV/atom

=====

Entry 4:
This record from Alexandria via LeMat-Bulk describes a relaxed LiPrTaN3 crystal. The functional is GGA-PBE.

Cell: 3.2493 6.8981 6.9776 Å, 105.36 90.00 90.00°
Last column: nearest neighbours and their distance in Å.
Atoms (fractional coordinates):
N 0.7500 0.2169 0.5316  3 Li 1.98-1.99, 1 Ta 1.99
Li 0.7500 0.9218 0.4109  4 N 1.88-1.99
N 0.2500 0.7831 0.4684  3 Li 1.98-1.99, 1 Ta 1.99
N 0.2500 0.5455 0.8402  3 Ta 2.22-2.27
Pr 0.2500 0.2141 0.2429  5 N 2.50-2.58
N 0.7500 0.4545 0.1598  3 Ta 2.22-2.27
N 0.2500 0.1396 0.8676  1 Li 1.88
Li 0.2500 0.0782 0.5891  4 N 1.88-1.99
N 0.7500 0.8604 0.1324  1 Li 1.88
Ta 0.7500 0.3229 0.8256  5 N 1.99-2.22
Pr 0.7500 0.7859 0.7571  5 N 2.50-2.58
Ta 0.2500 0.6771 0.1744  5 N 1.99-2.22

Space-group type = No. 11
E_form (uncorrected) = -1.03 eV/atom

=====

Entry 5:
This record from Alexandria via LeMat-Bulk describes a relaxed Li2Pr2TaN4 crystal. The functional is GGA-PBE.

Cell: 3.2752 6.3229 5.8931 Å, 109.60 90.00 105.01°
Last column: nearest neighbours and their distance in Å.
Atoms (fractional coordinates):
N 0.4789 0.9578 0.2284  1 Li 1.94
Ta 0.0000 0.0000 0.0000  6 N 2.19-2.23
Pr 0.1374 0.2748 0.5667  5 N 2.48-2.71, 1 Li 2.73
Li 0.6783 0.3567 0.0072  3 N 1.94-1.97
N 0.8079 0.6158 0.8005  2 Li 1.97
N 0.1921 0.3842 0.1995  2 Li 1.97
Li 0.3217 0.6433 0.9928  3 N 1.94-1.97
Pr 0.8626 0.7252 0.4333  5 N 2.48-2.71, 1 Li 2.73
N 0.5211 0.0422 0.7716  1 Li 1.94

Space-group type = No. 12
E_form (uncorrected) = -0.86 eV/atom

=====

Entry 6:
This record from Alexandria via LeMat-Bulk describes a relaxed Li2PrTc2N4 crystal. The functional is GGA-PBE.

Cell: 3.3419 7.4838 8.3177 Å, 139.97 90.00 102.90°
Last column: nearest neighbours and their distance in Å.
Atoms (fractional coordinates):
N 0.2270 0.4540 0.1298  3 Tc 2.05-2.09
Tc 0.6466 0.2932 0.9060  4 N 1.87-2.09
N 0.7730 0.5460 0.8702  3 Tc 2.05-2.09
Tc 0.3534 0.7068 0.0940  4 N 1.87-2.09
Pr 0.0000 0.0000 0.0000  6 N 2.50-2.55
N 0.4524 0.9048 0.7162  1 Tc 1.87
Li 0.8616 0.7231 0.4485  4 N 2.21-2.34
Li 0.1384 0.2769 0.5515  4 N 2.21-2.34
N 0.5476 0.0952 0.2838  1 Tc 1.87

Space-group type = No. 12
E_form (uncorrected) = -0.40 eV/atom

=====

Entry 7:
This record from Alexandria via LeMat-Bulk describes a relaxed LiPr2Tc2N6 crystal. The functional is GGA-PBE.

Cell: 5.6007 5.6007 6.8635 Å, 65.92 65.92 60.00°
Last column: nearest neighbours and their distance in Å.
Atoms (fractional coordinates):
Pr 0.2087 0.2087 0.3738  9 N 2.56-2.84
N 0.7409 0.2258 0.2924  1 Tc 1.77
Tc 0.6027 0.6027 0.1918  3 N 1.77
N 0.2591 0.2591 0.7076  1 Tc 1.77
Tc 0.3973 0.3973 0.8082  3 N 1.77
Pr 0.7913 0.7913 0.6262  9 N 2.56-2.84
N 0.7742 0.2591 0.7076  1 Tc 1.77
N 0.2258 0.7409 0.2924  1 Tc 1.77
Li 0.0000 0.0000 0.0000  6 N 2.36
N 0.2591 0.7742 0.7076  1 Tc 1.77
N 0.7409 0.7409 0.2924  1 Tc 1.77

Space-group type = No. 166
E_form (uncorrected) = -0.35 eV/atom

=====

Entry 8:
This record from Alexandria via LeMat-Bulk describes a relaxed Li2PrTeN crystal. The functional is GGA-PBE.

Cell: 3.7917 6.6948 7.4299 Å, 90.00 90.00 106.45°
Last column: nearest neighbours and their distance in Å.
Atoms (fractional coordinates):
Pr 0.5295 0.0590 0.2500  4 N 2.68
Pr 0.4705 0.9410 0.7500  4 N 2.68
N 0.0000 0.0000 0.5000  2 Li 1.96
Li 0.1496 0.2993 0.9496  1 N 1.96
Te 0.2612 0.5225 0.2500  6 Li 2.65-2.67
Te 0.7388 0.4775 0.7500  6 Li 2.65-2.67
N 0.0000 0.0000 0.0000  2 Li 1.96
Li 0.8504 0.7007 0.0504  1 N 1.96
Li 0.8504 0.7007 0.4496  1 N 1.96
Li 0.1496 0.2993 0.5504  1 N 1.96

Space-group type = No. 63
E_form (uncorrected) = -0.98 eV/atom